Computed, not measured: a relaxed Cs2KHI crystal at the PBEsol level of DFT.

The calculation puts the density of states at the Fermi level at 2.967 states/eV/cell. The value obtained for the energy is -1.850 eV per atom.

abc: 7.375 7.375 6.560
angles: 90.00 90.00 90.00
Space group P4/mmm (No. 123)
One atom of each set of equivalent atoms:
Cs (0.000, 0.500, 0.000) (multiplicity 2)
K (0.000, 0.000, 0.500) (multiplicity 1)
H (0.500, 0.500, 0.500) (multiplicity 1)
I (0.000, 0.000, 0.000) (multiplicity 1)



Computed, not measured: a relaxed Zr3Au crystal at the PBEsol level of DFT.

The calculation puts the density of states at the Fermi level at 9.186 states/eV/cell. The value obtained for the energy is -8.081 eV per atom.

abc: 4.193 4.193 9.173
angles: 90.00 90.00 90.00
Space group I4/mmm (No. 139)
One atom of each set of equivalent atoms:
Zr (0.000, 0.000, 0.000) (multiplicity 2)
Zr (0.000, 0.500, 0.250) (multiplicity 4)
Au (0.000, 0.000, 0.500) (multiplicity 2)



Computed, not measured: a relaxed Ba2RhAu crystal at the PBEsol level of DFT.

The calculation puts the density of states at the Fermi level at 2.955 states/eV/cell. The value obtained for the energy is -4.172 eV per atom.

abc: 4.569 4.569 10.240
angles: 90.00 90.00 90.00
Space group I-4m2 (No. 119)
One atom of each set of equivalent atoms:
Ba (0.000, 0.000, 0.000) (multiplicity 2)
Ba (0.000, 0.500, 0.250) (multiplicity 2)
Rh (0.000, 0.000, 0.500) (multiplicity 2)
Au (0.000, 0.500, 0.750) (multiplicity 2)



Computed, not measured: a relaxed Si2PtPb crystal at the PBEsol level of DFT.

The calculation puts the density of states at the Fermi level at 3.842 states/eV/cell. The value obtained for the energy is -5.783 eV per atom. The value obtained for the formation energy without anion corrections is -0.7 eV/f.u.

abc: 3.9850 3.9850 17.2199
angles: 90.00 90.00 120.00
Space group R-3m (No. 166, hexagonal axes)
One atom of each set of equivalent atoms:
Si (0.0000, 0.0000, 0.2154) (multiplicity 6)
Pt (0.0000, 0.0000, 0.5000) (multiplicity 3)
Pb (0.0000, 0.0000, 0.0000) (multiplicity 3)



Computed, not measured: a relaxed AgPt3 crystal at the PBEsol level of DFT.

The calculation puts the density of states at the Fermi level at 22.695 states/eV/cell. The value obtained for the energy is -6.012 eV per atom.

abc: 4.790 9.202 5.548
angles: 90.00 90.00 90.00
Space group Pnma (No. 62)
One atom of each set of equivalent atoms:
Ag (0.086, 0.250, 0.133) (multiplicity 4)
Pt (0.096, 0.250, 0.635) (multiplicity 4)
Pt (0.246, 0.503, 0.378) (multiplicity 8)



Computed, not measured: a relaxed CoTc2 crystal at the PBEsol level of DFT.

The calculation puts the density of states at the Fermi level at 10.364 states/eV/cell. The value obtained for the energy is -10.104 eV per atom.

abc: 5.764 5.764 4.592
angles: 90.00 90.00 90.00
Space group I4/mcm (No. 140)
One atom of each set of equivalent atoms:
Co (0.000, 0.000, 0.250) (multiplicity 4)
Tc (0.149, 0.351, 0.000) (multiplicity 8)



Computed, not measured: a relaxed CuAsPt4 crystal at the PBEsol level of DFT.

The calculation puts the density of states at the Fermi level at 24.451 states/eV/cell. The value obtained for the energy is -5.917 eV per atom.

abc: 7.338 7.338 7.338
angles: 90.00 90.00 90.00
Space group F-43m (No. 216)
One atom of each set of equivalent atoms:
Cu (0.000, 0.000, 0.000) (multiplicity 4)
As (0.250, 0.250, 0.250) (multiplicity 4)
Pt (0.125, 0.125, 0.625) (multiplicity 16)



Computed, not measured: a relaxed TcRh2 crystal at the PBEsol level of DFT.

The calculation puts the density of states at the Fermi level at 3.038 states/eV/cell. The value obtained for the energy is -9.268 eV per atom.

abc: 2.6766 2.6766 6.5637
angles: 90.00 90.00 120.00
Space group P-3m1 (No. 164)
One atom of each set of equivalent atoms:
Tc (0.0000, 0.0000, 0.0000) (multiplicity 1)
Rh (0.3333, 0.6667, 0.6732) (multiplicity 2)



Computed, not measured: a relaxed Cd2Sb5O2F31 crystal at the PBEsol level of DFT.

The value obtained for the energy is -4.319 eV per atom. The value obtained for the formation energy without anion corrections is -77.3 eV/f.u.

abc: 10.908 11.055 10.173
angles: 90.00 105.61 90.00
Space group P2_1/c (No. 14)
One atom of each set of equivalent atoms:
Cd (0.021, 0.146, 0.134) (multiplicity 4)
Sb (0.000, 0.000, 0.500) (multiplicity 2)
Sb (0.263, 0.663, 0.735) (multiplicity 4)
Sb (0.316, 0.199, 0.932) (multiplicity 4)
O (0.415, 0.070, 0.712) (multiplicity 4)
F (0.000, 0.000, 0.000) (multiplicity 2)
F (0.029, 0.537, 0.191) (multiplicity 4)
F (0.047, 0.166, 0.545) (multiplicity 4)
F (0.116, 0.731, 0.779) (multiplicity 4)
F (0.158, 0.242, 0.313) (multiplicity 4)
F (0.170, 0.537, 0.015) (multiplicity 4)
F (0.174, 0.676, 0.544) (multiplicity 4)
F (0.191, 0.506, 0.742) (multiplicity 4)
F (0.219, 0.155, 0.054) (multiplicity 4)
F (0.282, 0.046, 0.839) (multiplicity 4)
F (0.332, 0.684, 0.222) (multiplicity 4)
F (0.348, 0.141, 0.503) (multiplicity 4)
F (0.358, 0.647, 0.918) (multiplicity 4)
F (0.397, 0.580, 0.675) (multiplicity 4)
F (0.398, 0.243, 0.791) (multiplicity 4)
F (0.467, 0.139, 0.048) (multiplicity 4)



Computed, not measured: a relaxed Rb3TlTe crystal at the PBEsol level of DFT.

The calculation puts the density of states at the Fermi level at 3.850 states/eV/cell. The value obtained for the energy is -2.116 eV per atom. The value obtained for the formation energy without anion corrections is -1.3 eV/f.u.

abc: 6.864 6.864 6.864
angles: 90.00 90.00 90.00
Space group Pm-3m (No. 221)
One atom of each set of equivalent atoms:
Rb (0.000, 0.000, 0.500) (multiplicity 3)
Tl (0.500, 0.500, 0.500) (multiplicity 1)
Te (0.000, 0.000, 0.000) (multiplicity 1)



Computed, not measured: a relaxed BaZnP2O7 crystal at the PBEsol level of DFT.

The calculation puts the density of states at the Fermi level at 0.000 states/eV/cell. The value obtained for the energy is -7.145 eV per atom. The value obtained for the formation energy without anion corrections is -26.5 eV/f.u.

abc: 5.304 7.382 7.578
angles: 102.51 92.73 94.22
Space group P-1 (No. 2)
One atom of each set of equivalent atoms:
Ba (0.198, 0.277, 0.433) (multiplicity 2)
Zn (0.199, 0.112, 0.895) (multiplicity 2)
P (0.294, 0.689, 0.899) (multiplicity 2)
P (0.300, 0.768, 0.286) (multiplicity 2)
O (0.071, 0.886, 0.298) (multiplicity 2)
O (0.109, 0.846, 0.906) (multiplicity 2)
O (0.210, 0.523, 0.750) (multiplicity 2)
O (0.271, 0.626, 0.089) (multiplicity 2)
O (0.297, 0.650, 0.427) (multiplicity 2)
O (0.430, 0.231, 0.106) (multiplicity 2)
O (0.449, 0.111, 0.702) (multiplicity 2)



Computed, not measured: a relaxed Rb3GaB crystal at the PBEsol level of DFT.

The calculation puts the density of states at the Fermi level at 6.059 states/eV/cell. The value obtained for the energy is -1.410 eV per atom.

abc: 6.575 6.575 6.575
angles: 90.00 90.00 90.00
Space group Pm-3m (No. 221)
One atom of each set of equivalent atoms:
Rb (0.000, 0.000, 0.500) (multiplicity 3)
Ga (0.000, 0.000, 0.000) (multiplicity 1)
B (0.500, 0.500, 0.500) (multiplicity 1)



Computed, not measured: a relaxed Ag3Pb crystal at the PBEsol level of DFT.

The calculation puts the density of states at the Fermi level at 5.487 states/eV/cell. The value obtained for the energy is -3.390 eV per atom.

abc: 4.235 4.235 17.030
angles: 90.00 90.00 90.00
Space group I4/mmm (No. 139)
One atom of each set of equivalent atoms:
Ag (0.000, 0.000, 0.124) (multiplicity 4)
Ag (0.000, 0.500, 0.000) (multiplicity 4)
Ag (0.000, 0.500, 0.250) (multiplicity 4)
Pb (0.000, 0.000, 0.374) (multiplicity 4)



Computed, not measured: a relaxed LaBe3Br crystal at the PBEsol level of DFT.

The calculation puts the density of states at the Fermi level at 4.322 states/eV/cell. The value obtained for the energy is -1.983 eV per atom. The value obtained for the formation energy without anion corrections is 9.3 eV/f.u.

abc: 5.507 5.507 5.507
angles: 90.00 90.00 90.00
Space group Pm-3m (No. 221)
One atom of each set of equivalent atoms:
La (0.000, 0.000, 0.000) (multiplicity 1)
Be (0.000, 0.000, 0.500) (multiplicity 3)
Br (0.500, 0.500, 0.500) (multiplicity 1)



Computed, not measured: a relaxed AgHg5 crystal at the PBEsol level of DFT.

The calculation puts the density of states at the Fermi level at 3.868 states/eV/cell. The value obtained for the energy is -0.992 eV per atom.

abc: 11.778 3.058 8.909
angles: 90.00 124.42 90.00
Space group Cm (No. 8)
One atom of each set of equivalent atoms:
Ag (0.000, 0.000, 0.000) (multiplicity 2)
Hg (0.002, 0.000, 0.503) (multiplicity 2)
Hg (0.128, 0.500, 0.854) (multiplicity 2)
Hg (0.199, 0.500, 0.321) (multiplicity 2)
Hg (0.303, 0.000, 0.679) (multiplicity 2)
Hg (0.376, 0.000, 0.151) (multiplicity 2)



Computed, not measured: a relaxed CdTc2W crystal at the PBEsol level of DFT.

The calculation puts the density of states at the Fermi level at 6.719 states/eV/cell. The value obtained for the energy is -9.114 eV per atom.

abc: 3.095 4.494 9.062
angles: 90.00 90.00 90.00
Space group Cmmm (No. 65)
One atom of each set of equivalent atoms:
Cd (0.000, 0.000, 0.000) (multiplicity 2)
Tc (0.000, 0.500, 0.269) (multiplicity 4)
W (0.000, 0.000, 0.500) (multiplicity 2)



Computed, not measured: a relaxed DyTa3 crystal at the PBEsol level of DFT.

The calculation puts the density of states at the Fermi level at 23.837 states/eV/cell. The value obtained for the energy is -10.272 eV per atom.

abc: 6.764 6.764 6.764
angles: 90.00 90.00 90.00
Space group Fm-3m (No. 225)
One atom of each set of equivalent atoms:
Dy (0.000, 0.000, 0.000) (multiplicity 4)
Ta (0.000, 0.000, 0.500) (multiplicity 4)
Ta (0.250, 0.250, 0.250) (multiplicity 8)



Computed, not measured: a relaxed Be2PdAu2 crystal at the PBEsol level of DFT.

The calculation puts the density of states at the Fermi level at 1.888 states/eV/cell. The value obtained for the energy is -4.386 eV per atom.

abc: 3.813 3.813 9.489
angles: 90.00 90.00 90.00
Space group I4/mmm (No. 139)
One atom of each set of equivalent atoms:
Be (0.000, 0.000, 0.108) (multiplicity 4)
Pd (0.000, 0.000, 0.500) (multiplicity 2)
Au (0.000, 0.500, 0.250) (multiplicity 4)



Computed, not measured: a relaxed Be2ReBr crystal at the PBEsol level of DFT.

The calculation puts the density of states at the Fermi level at 5.474 states/eV/cell. The value obtained for the energy is -5.047 eV per atom. The value obtained for the formation energy without anion corrections is 3.0 eV/f.u.

abc: 7.975 3.111 4.758
angles: 90.00 90.93 90.00
Space group C2/m (No. 12)
One atom of each set of equivalent atoms:
Be (0.206, 0.000, 0.378) (multiplicity 4)
Re (0.000, 0.500, 0.500) (multiplicity 2)
Br (0.000, 0.000, 0.000) (multiplicity 2)



Computed, not measured: a relaxed CsSnF3 crystal at the PBEsol level of DFT.

The calculation puts the density of states at the Fermi level at 0.000 states/eV/cell. The value obtained for the energy is -4.702 eV per atom. The value obtained for the formation energy without anion corrections is -12.5 eV/f.u.

abc: 4.484 4.484 5.409
angles: 89.06 87.91 89.94
Space group P1 (No. 1)
One atom of each set of equivalent atoms:
Cs (0.000, 0.000, 0.000) (multiplicity 1)
Sn (0.483, 0.493, 0.470) (multiplicity 1)
F (0.486, 0.993, 0.390) (multiplicity 1)
F (0.497, 0.499, 0.087) (multiplicity 1)
F (0.981, 0.493, 0.390) (multiplicity 1)



Computed, not measured: a relaxed ZnCd3 crystal at the PBEsol level of DFT.

The calculation puts the density of states at the Fermi level at 3.686 states/eV/cell. The value obtained for the energy is -1.242 eV per atom.

abc: 3.0976 3.0976 27.9263
angles: 90.00 90.00 120.00
Space group R-3m (No. 166, hexagonal axes)
One atom of each set of equivalent atoms:
Zn (0.0000, 0.0000, 0.0000) (multiplicity 3)
Cd (0.0000, 0.0000, 0.2550) (multiplicity 6)
Cd (0.0000, 0.0000, 0.5000) (multiplicity 3)



Computed, not measured: a relaxed Cr2SiO4 crystal at the PBEsol level of DFT.

The calculation puts the density of states at the Fermi level at 0.968 states/eV/cell. The value obtained for the energy is -8.569 eV per atom. The value obtained for the formation energy without anion corrections is -12.8 eV/f.u.

abc: 5.594 9.942 11.179
angles: 90.00 90.00 90.00
Space group Fddd (No. 70, origin choice 2)
One atom of each set of equivalent atoms:
Cr (0.125, 0.278, 0.125) (multiplicity 16)
Si (0.125, 0.125, 0.625) (multiplicity 8)
O (0.045, 0.272, 0.952) (multiplicity 32)



Computed, not measured: a relaxed BAuCl3 crystal at the PBEsol level of DFT.

The calculation puts the density of states at the Fermi level at 0.903 states/eV/cell. The value obtained for the energy is -2.958 eV per atom. The value obtained for the formation energy without anion corrections is 2.2 eV/f.u.

abc: 4.338 4.338 4.338
angles: 90.00 90.00 90.00
Space group Pm-3m (No. 221)
One atom of each set of equivalent atoms:
B (0.000, 0.000, 0.000) (multiplicity 1)
Au (0.500, 0.500, 0.500) (multiplicity 1)
Cl (0.000, 0.000, 0.500) (multiplicity 3)